# Sm2TiCu3Ni12

An optimized crystal structure of Sm2TiCu3Ni12 (PBE, the Alexandria database).

The total energy comes out at -5.518 eV per atom. For the total magnetic moment, the calculation gives 0.0 μB per formula unit.

The structure belongs to space group R-3m (No. 166, hexagonal axes); the cell edges are 8.3241, 8.3241 and 12.2573 Å and the angles 90.00°, 90.00° and 120.00°. The asymmetric unit holds Sm at (0.0000, 0.0000, 0.2121), Ti at (0.0000, 0.0000, 0.5000), Cu at (0.0000, 0.5000, 0.0000), Ni at (0.0180, 0.5090, 0.2075) and Ni at (0.0388, 0.5194, 0.6055).